Entry 1:
# SrS2BrCl PBE relaxed
data_SrS2BrCl
_cell_length_a 6.044
_cell_length_b 6.044
_cell_length_c 5.453
_cell_angle_alpha 90.00
_cell_angle_beta 90.00
_cell_angle_gamma 90.00
_symmetry_space_group_name_H-M 'P 1'
_symmetry_Int_Tables_number 1
loop_
_symmetry_equiv_pos_as_xyz
'x,y,z'
loop_
_atom_site_label
_atom_site_type_symbol
_atom_site_fract_x
_atom_site_fract_y
_atom_site_fract_z
_atom_site_occupancy
Sr1 Sr 0.000 0.000 0.000 1
S1 S 0.000 0.500 0.000 1
S2 S 0.500 0.000 0.000 1
Br1 Br 0.500 0.500 0.500 1
Cl1 Cl 0.000 0.000 0.500 1
# **Symmetry**: P4/mmm, No. 123
# **Calculated total energy**: -2.85 eV/atom
# **Relative energy among the computed polymorphs**: 276 meV/atom
# **Energy relative to the elements, uncorrected**: -154.9 meV per atom
# **M_tot**: 4.01 μB/f.u.

---

Entry 2:
# Sm4Dy2HoSc PBE relaxed
data_Sm4Dy2HoSc
_cell_length_a 5.038
_cell_length_b 5.048
_cell_length_c 9.921
_cell_angle_alpha 90.00
_cell_angle_beta 90.00
_cell_angle_gamma 90.00
_symmetry_space_group_name_H-M 'P 1'
_symmetry_Int_Tables_number 1
loop_
_symmetry_equiv_pos_as_xyz
'x,y,z'
loop_
_atom_site_label
_atom_site_type_symbol
_atom_site_fract_x
_atom_site_fract_y
_atom_site_fract_z
_atom_site_occupancy
Sm1 Sm 0.000 0.000 0.245 1
Sm2 Sm 0.000 0.000 0.755 1
Sm3 Sm 0.500 0.500 0.245 1
Sm4 Sm 0.500 0.500 0.755 1
Dy1 Dy 0.000 0.500 0.000 1
Dy2 Dy 0.500 0.000 0.500 1
Ho1 Ho 0.000 0.500 0.500 1
Sc1 Sc 0.500 0.000 0.000 1
# **Symmetry**: Pmmm, No. 47
# **Energy relative to the elements**: 29 meV per atom
# **Calculated total energy**: -4.84 eV/atom
# **M_tot**: 0.00 μB/f.u.

---

Entry 3:
# RbBa2MgTa PBE relaxed
data_RbBa2MgTa
_cell_length_a 6.729
_cell_length_b 6.729
_cell_length_c 5.585
_cell_angle_alpha 90.00
_cell_angle_beta 90.00
_cell_angle_gamma 90.00
_symmetry_space_group_name_H-M 'P 1'
_symmetry_Int_Tables_number 1
loop_
_symmetry_equiv_pos_as_xyz
'x,y,z'
loop_
_atom_site_label
_atom_site_type_symbol
_atom_site_fract_x
_atom_site_fract_y
_atom_site_fract_z
_atom_site_occupancy
Rb1 Rb 0.000 0.000 0.000 1
Ba1 Ba 0.000 0.500 0.500 1
Ba2 Ba 0.500 0.000 0.500 1
Mg1 Mg 0.500 0.500 0.500 1
Ta1 Ta 0.500 0.500 0.000 1
# **Symmetry**: P4/mmm, No. 123
# **Energy relative to the elements**: 1030 meV per atom
# **Calculated total energy**: -2.62 eV/atom
# **M_tot**: 3.68 μB/f.u.

---

Entry 4:
# Cs4Rb6Pt PBE relaxed
data_Cs4Rb6Pt
_cell_length_a 15.002
_cell_length_b 15.002
_cell_length_c 9.379
_cell_angle_alpha 90.00
_cell_angle_beta 90.00
_cell_angle_gamma 120.00
_symmetry_space_group_name_H-M 'P 1'
_symmetry_Int_Tables_number 1
loop_
_symmetry_equiv_pos_as_xyz
'x,y,z'
loop_
_atom_site_label
_atom_site_type_symbol
_atom_site_fract_x
_atom_site_fract_y
_atom_site_fract_z
_atom_site_occupancy
Cs1 Cs 0.223 0.447 0.000 1
Cs2 Cs 0.223 0.777 0.000 1
Cs3 Cs 0.333 0.667 0.564 1
Cs4 Cs 0.447 0.223 0.500 1
Cs5 Cs 0.553 0.777 0.000 1
Cs6 Cs 0.667 0.333 0.064 1
Cs7 Cs 0.777 0.223 0.500 1
Cs8 Cs 0.777 0.553 0.500 1
Rb1 Rb 0.073 0.536 0.307 1
Rb2 Rb 0.115 0.231 0.524 1
Rb3 Rb 0.115 0.885 0.524 1
Rb4 Rb 0.231 0.115 0.024 1
Rb5 Rb 0.464 0.536 0.307 1
Rb6 Rb 0.464 0.927 0.307 1
Rb7 Rb 0.536 0.073 0.807 1
Rb8 Rb 0.536 0.464 0.807 1
Rb9 Rb 0.769 0.885 0.524 1
Rb10 Rb 0.885 0.115 0.024 1
Rb11 Rb 0.885 0.769 0.024 1
Rb12 Rb 0.927 0.464 0.807 1
Pt1 Pt 0.333 0.667 0.202 1
Pt2 Pt 0.667 0.333 0.702 1
# **Symmetry**: P6_3mc, No. 186
# **Energy relative to the elements**: 16 meV per atom
# **Calculated total energy**: -1.37 eV/atom
# **M_tot**: 0.00 μB/f.u.

---

Entry 5:
# AlTe3Pd12 PBE relaxed
data_AlTe3Pd12
_cell_length_a 4.040
_cell_length_b 4.040
_cell_length_c 16.269
_cell_angle_alpha 90.00
_cell_angle_beta 90.00
_cell_angle_gamma 90.00
_symmetry_space_group_name_H-M 'P 1'
_symmetry_Int_Tables_number 1
loop_
_symmetry_equiv_pos_as_xyz
'x,y,z'
loop_
_atom_site_label
_atom_site_type_symbol
_atom_site_fract_x
_atom_site_fract_y
_atom_site_fract_z
_atom_site_occupancy
Al1 Al 0.000 0.000 0.000 1
Te1 Te 0.000 0.000 0.243 1
Te2 Te 0.000 0.000 0.500 1
Te3 Te 0.000 0.000 0.757 1
Pd1 Pd 0.000 0.500 0.114 1
Pd2 Pd 0.000 0.500 0.371 1
Pd3 Pd 0.000 0.500 0.629 1
Pd4 Pd 0.000 0.500 0.886 1
Pd5 Pd 0.500 0.000 0.114 1
Pd6 Pd 0.500 0.000 0.371 1
Pd7 Pd 0.500 0.000 0.629 1
Pd8 Pd 0.500 0.000 0.886 1
Pd9 Pd 0.500 0.500 0.000 1
Pd10 Pd 0.500 0.500 0.242 1
Pd11 Pd 0.500 0.500 0.500 1
Pd12 Pd 0.500 0.500 0.758 1
# **Symmetry**: P4/mmm, No. 123
# **Calculated total energy**: -5.00 eV/atom
# **Energy relative to the elements, uncorrected**: -280.1 meV per atom
# **M_tot**: 0.00 μB/f.u.